[1]
Compound: CaPm12Si4
Source: Alexandria via LeMat-Bulk
Functional: GGA-PBE
Structure: relaxed

The structure in POSCAR format:
```
CaPm12Si4
1.0
-4.522 5.032 -6.161
2.826 -7.781 -3.899
-5.546 -1.942 7.014
Pm Si Ca
12 4 1
Cartesian
-6.217 -2.114 -0.279
-3.560 -5.998 2.239
-1.025 -2.576 -2.767
-0.188 -6.293 -1.887
-3.598 0.542 -1.452
-4.616 -2.030 -4.216
-7.054 1.602 -1.159
-3.682 1.308 -5.285
-2.627 -2.661 1.170
-3.644 -5.232 -1.594
-1.608 -3.520 -6.220
-5.635 -1.171 3.175
-2.773 -0.971 3.507
1.413 -3.890 -1.950
-2.261 2.516 -3.081
-3.621 -2.345 -1.523
0.000 0.000 0.000
```

- Density: 5.328 Mg/m³
- Final energy: -81.2 eV for the cell shown
- Fermi-level density of states: 24.84 states/eV/cell
- M_tot: 4.80 μB per formula unit
- Uncorrected formation energy: -0.46 eV/f.u.

[2]
Compound: CdGaBO4
Source: Alexandria via LeMat-Bulk
Functional: GGA-PBE
Structure: relaxed

The structure in POSCAR format:
```
CdGaBO4
1.0
-4.242 2.146 -2.407
-1.283 -2.160 4.699
1.068 5.034 2.605
O Ga Cd B
8 2 2 2
Cartesian
-0.911 1.385 0.890
-3.545 3.635 4.007
-2.511 5.964 1.787
-1.493 1.188 4.213
-4.257 1.377 2.278
-2.964 3.832 0.683
-1.945 -0.944 3.110
-0.199 3.643 2.619
-3.559 2.799 -0.757
-0.898 2.221 5.654
-2.228 2.510 2.448
-2.762 -0.007 1.146
-1.440 -0.284 4.332
-3.017 5.304 0.565
```

- Density: 5.609 Mg/m³
- Final energy: -85.1 eV for the cell shown
- Fermi-level density of states: 0.00 states/eV/cell
- M_tot: 0.00 μB per formula unit
- Uncorrected formation energy: -12.10 eV/f.u.

[3]
Compound: Tb2Sm4ErMg
Source: Alexandria via LeMat-Bulk
Functional: GGA-PBE
Structure: relaxed

The structure in POSCAR format:
```
Tb2Sm4ErMg
1.0
-2.774 -4.035 -1.123
1.727 -2.331 4.110
-5.862 1.407 9.423
Er Tb Sm Mg
1 2 4 1
Cartesian
-2.068 -0.462 6.767
-8.636 -2.628 8.299
-2.592 -3.645 8.260
-5.895 -4.719 9.040
-5.371 -1.536 7.548
-1.539 -3.423 4.861
-3.789 -4.276 2.246
-6.386 -1.776 10.916
```

- Density: 7.306 Mg/m³
- Final energy: -34.2 eV for the cell shown
- Fermi-level density of states: 11.27 states/eV/cell
- M_tot: 0.00 μB per formula unit

[4]
Compound: CsHf2NbOs
Source: Alexandria via LeMat-Bulk
Functional: GGA-PBE
Structure: relaxed

The structure in POSCAR format:
```
CsHf2NbOs
1.0
5.301 0.000 0.000
0.000 4.907 0.000
0.000 0.000 5.301
Nb Os Hf Cs
1 1 2 1
Cartesian
0.000 0.000 0.000
0.000 2.454 0.000
0.000 0.000 2.651
2.651 0.000 0.000
2.651 2.454 2.651
```

- Density: 9.308 Mg/m³
- Final energy: -34.9 eV for the cell shown
- Fermi-level density of states: 6.93 states/eV/cell
- M_tot: 0.87 μB per formula unit